1.
DFT (PBE-GGA) results for a relaxed PrMg2Zr crystal.

Cell lengths 3.6533, 3.6533, 7.6688 Å; angles 90.00, 90.00, 90.00 degrees
Atoms (fractional coordinates):
1 Pr 0.0000 0.0000 0.0000
2 Mg 0.5000 0.5000 0.2811
3 Mg 0.5000 0.5000 0.7189
4 Zr 0.0000 0.0000 0.5000

Results
Its total energy is -16.402 eV/f.u. Its formation enthalpy at 0 K is 0.029 eV per atom.


2.
DFT (PBE-GGA) results for a relaxed PrMgZr crystal.

Cell lengths 16.9045, 3.3399, 3.3399 Å; angles 59.97, 90.00, 90.00 degrees
Atoms (fractional coordinates):
1 Pr 0.1807 0.0000 0.0000
2 Pr 0.8193 0.0000 0.0000
3 Mg 0.0000 0.3326 0.3326
4 Mg 0.5000 0.0012 0.0012
5 Zr 0.3440 0.3333 0.3333
6 Zr 0.6560 0.3333 0.3333

Results
Its total energy is -14.489 eV/f.u. Its formation enthalpy at 0 K is 0.145 eV per atom.


3.
DFT (PBE-GGA) results for a relaxed PrMgZr crystal.

Cell lengths 3.3667, 3.3667, 8.3625 Å; angles 90.00, 90.00, 120.00 degrees
Atoms (fractional coordinates):
1 Pr 0.0000 0.0000 0.0000
2 Mg 0.6667 0.3333 0.3639
3 Zr 0.3333 0.6667 0.6729

Results
Its total energy is -14.491 eV/f.u. Its formation enthalpy at 0 K is 0.144 eV per atom.


4.
DFT (PBE-GGA) results for a relaxed MgPt2 crystal.

Cell lengths 7.3922, 7.3922, 4.6253 Å; angles 90.00, 90.00, 157.80 degrees
Atoms (fractional coordinates):
1 Mg 0.1032 0.8968 0.7500
2 Mg 0.8968 0.1032 0.2500
3 Pt 0.2351 0.7649 0.2500
4 Pt 0.4404 0.5596 0.7500
5 Pt 0.5596 0.4404 0.2500
6 Pt 0.7649 0.2351 0.7500

Results
Its total energy is -15.408 eV/f.u. Its formation enthalpy at 0 K is -0.577 eV per atom.


5.
DFT (PBE-GGA) results for a relaxed Mg2Pt crystal.

Cell lengths 5.3154, 5.3154, 5.3154 Å; angles 60.00, 60.00, 60.00 degrees
Atoms (fractional coordinates):
1 Mg 0.0000 0.0000 0.0000
2 Mg 0.0000 0.0000 0.5000
3 Mg 0.0000 0.5000 0.0000
4 Mg 0.5000 0.0000 0.0000
5 Pt 0.3750 0.3750 0.3750
6 Pt 0.6250 0.6250 0.6250

Results
Its total energy is -9.403 eV/f.u. Its formation enthalpy at 0 K is -0.058 eV per atom.


6.
DFT (PBE-GGA) results for a relaxed MgPt2 crystal.

Cell lengths 5.0339, 5.0339, 5.0339 Å; angles 105.65, 105.65, 117.42 degrees
Atoms (fractional coordinates):
1 Mg 0.2500 0.2500 0.0000
2 Mg 0.7500 0.7500 0.0000
3 Pt 0.1526 0.6526 0.8052
4 Pt 0.3474 0.1526 0.5000
5 Pt 0.6526 0.8474 0.5000
6 Pt 0.8474 0.3474 0.1948

Results
Its total energy is -14.490 eV/f.u. Its formation enthalpy at 0 K is -0.271 eV per atom.